# 1
AcIn3, optimized geometry, DFT PBE; ΔE_f = -304 meV per atom; crystal system = tetragonal
1.0
-2.4499 2.4499 5.0395
2.4499 -2.4499 5.0395
2.4499 2.4499 -5.0395
Ac In
1 3
Direct
0.0000 0.0000 0.0000
0.2500 0.7500 0.5000
0.5000 0.5000 0.0000
0.7500 0.2500 0.5000

***

# 2
ScZnFeAg2, optimized geometry, DFT PBE; ΔE_f = 1326 meV per atom; crystal system = tetragonal
1.0
5.0665 0.0000 0.0000
0.0000 5.0665 0.0000
0.0000 0.0000 5.0415
Sc Zn Fe Ag
1 1 1 2
Direct
0.0000 0.0000 0.0000
0.0000 0.0000 0.5000
0.5000 0.5000 0.5000
0.0000 0.5000 0.0000
0.5000 0.0000 0.0000

***

# 3
Ta3C, optimized geometry, DFT PBE; E above lowest polymorph = 0.233 eV per atom; ΔE_f = -129 meV per atom; crystal system = orthorhombic
1.0
5.9545 0.0000 0.0000
0.0000 7.3835 0.0000
0.0000 0.0000 5.3458
Ta C
12 4
Direct
0.0338 0.2500 0.1647
0.1780 0.0638 0.6640
0.1780 0.4362 0.6640
0.3220 0.5638 0.1640
0.3220 0.9362 0.1640
0.4662 0.7500 0.6647
0.5338 0.2500 0.3353
0.6780 0.0638 0.8360
0.6780 0.4362 0.8360
0.8220 0.5638 0.3360
0.8220 0.9362 0.3360
0.9662 0.7500 0.8353
0.1333 0.7500 0.4575
0.3667 0.2500 0.9575
0.6333 0.7500 0.0425
0.8667 0.2500 0.5425

***

# 4
Ba3Pa2AgO9, optimized geometry, DFT PBE; crystal system = trigonal; formation energy from raw total energies = -2.807 eV/atom
1.0
6.2449 0.0000 0.0000
-3.1224 5.4082 0.0000
0.0000 0.0000 7.7472
Ba Pa Ag O
3 2 1 9
Direct
0.0000 0.0000 0.0000
0.3333 0.6667 0.6385
0.6667 0.3333 0.3615
0.3333 0.6667 0.1684
0.6667 0.3333 0.8316
0.0000 0.0000 0.5000
0.0000 0.5000 0.0000
0.1740 0.3480 0.3263
0.1740 0.8260 0.3263
0.3480 0.1740 0.6737
0.5000 0.0000 0.0000
0.5000 0.5000 0.0000
0.6520 0.8260 0.3263
0.8260 0.1740 0.6737
0.8260 0.6520 0.6737

***

# 5
Cd2CuHg, optimized geometry, DFT PBE; ΔE_f = 77 meV per atom; crystal system = tetragonal
1.0
3.0754 0.0000 0.0000
0.0000 3.0754 0.0000
0.0000 0.0000 8.5882
Cd Cu Hg
2 1 1
Direct
0.0000 0.0000 0.2050
0.0000 0.0000 0.7950
0.5000 0.5000 0.0000
0.5000 0.5000 0.5000

***

# 6
SrEuO2, optimized geometry, DFT PBE; crystal system = trigonal; formation energy from raw total energies = -2.738 eV/atom
1.0
1.8166 1.0488 5.9592
-1.8166 1.0488 5.9592
0.0000 -2.0976 5.9592
Sr Eu O
1 1 2
Direct
0.0000 0.0000 0.0000
0.5000 0.5000 0.5000
0.2479 0.2479 0.2479
0.7521 0.7521 0.7521

***

no.,final energy (eV per atom),total magnetic moment (μB per formula unit)
1,-3.39,0.0
2,-3.03,3.2
3,-11.32,0.0
4,-7.62,1.1
5,-1.48,0.0
6,-8.21,7.0